Record 1
Below is crystalline Si2AgBr at its relaxed geometry, with properties calculated at the PBE-GGA level.

abc: 6.771 6.771 6.771
angles: 90.00 90.00 90.00
Space group Fm-3m (No. 225)
Symmetry-distinct sites (fractional):
Si: 0.250 0.250 0.250
Ag: 0.000 0.000 0.000
Br: 0.000 0.000 0.500

Output
Formation energy without anion corrections: 0.778 eV/atom
M_tot: 0.000 Bohr magnetons per cell
Volume: 19.4 Å³/atom
E: -3.065 eV per atom
Distance to the lowest polymorph of the same formula: 2.64 eV/f.u.

=====

Record 2
Below is crystalline SiAg2Br at its relaxed geometry, with properties calculated at the PBE-GGA level.

abc: 13.061 3.429 4.069
angles: 90.00 103.15 90.00
Space group Cm (No. 8)
Symmetry-distinct sites (fractional):
Si: 0.000 0.000 0.000
Ag: 0.018 0.500 0.541
Ag: 0.183 0.000 0.420
Br: 0.302 0.500 0.999

Output
Formation energy without anion corrections: 0.198 eV/atom
M_tot: 0.000 Bohr magnetons per cell
Volume: 22.2 Å³/atom
E: -3.002 eV per atom
Distance to the lowest polymorph of the same formula: 0.24 eV/f.u.

=====

Record 3
Below is crystalline Si2AgBr at its relaxed geometry, with properties calculated at the PBE-GGA level.

abc: 13.564 3.474 3.984
angles: 90.00 95.78 90.00
Space group Cm (No. 8)
Symmetry-distinct sites (fractional):
Si: 0.000 0.000 0.000
Si: 0.114 0.500 0.139
Ag: 0.458 0.000 0.501
Br: 0.248 0.000 0.474

Output
Formation energy without anion corrections: 0.300 eV/atom
M_tot: 0.000 Bohr magnetons per cell
Volume: 23.3 Å³/atom
E: -3.543 eV per atom
Distance to the lowest polymorph of the same formula: 0.73 eV/f.u.

=====

Record 4
Below is crystalline SiAg2Br at its relaxed geometry, with properties calculated at the PBE-GGA level.

abc: 6.093 3.512 7.928
angles: 90.00 105.07 90.00
Space group C2/m (No. 12)
Symmetry-distinct sites (fractional):
Si: 0.000 0.000 0.000
Ag: 0.242 0.500 0.222
Br: 0.000 0.500 0.500

Output
Formation energy without anion corrections: 0.139 eV/atom
M_tot: 0.000 Bohr magnetons per cell
Volume: 20.5 Å³/atom
E: -3.060 eV per atom
Distance to the lowest polymorph of the same formula: 0.00 eV/f.u.